# Sm5Er4Tm

A geometry-optimized Sm5Er4Tm structure (PBE-GGA, Alexandria).

Values from the calculation:
Energy of formation: 2.7 eV per formula unit
Calculated density: 7974 kg/m3

Cell lengths 10.565, 10.565, 5.931 Å; angles 90.00, 90.00, 90.00 degrees
Space group I4mm (No. 107)
One atom of each set of equivalent atoms:
Sm 0.000 0.000 0.000 (multiplicity 2)
Sm 0.189 0.189 0.267 (multiplicity 8)
Er 0.000 0.325 0.758 (multiplicity 8)
Tm 0.000 0.000 0.531 (multiplicity 2)

---

# Sm2Er3Tm7

A geometry-optimized Sm2Er3Tm7 structure (PBE-GGA, Alexandria).

Values from the calculation:
Energy of formation: 1.0 eV per formula unit
Calculated density: 8847 kg/m3

Cell lengths 6.256, 3.479, 17.219 Å; angles 90.00, 96.28, 90.00 degrees
Space group P2/m (No. 10)
One atom of each set of equivalent atoms:
Sm 0.062 0.000 0.174 (multiplicity 2)
Er 0.450 0.500 0.843 (multiplicity 2)
Er 0.500 0.000 0.500 (multiplicity 1)
Tm 0.000 0.500 0.500 (multiplicity 1)
Tm 0.226 0.000 0.667 (multiplicity 2)
Tm 0.256 0.000 0.999 (multiplicity 2)
Tm 0.276 0.500 0.337 (multiplicity 2)